No. 1
VASP calculation (GGA-PBE) on a relaxed structure of Sr2SeN.

Cell lengths 7.019, 7.309, 7.900 Å; angles 90.00, 90.00, 90.00 degrees
Fractional coordinates of all 16 atoms:
Sr (0.204, 0.018, 0.142)
Sr (0.204, 0.482, 0.142)
Sr (0.296, 0.518, 0.642)
Sr (0.296, 0.982, 0.642)
Sr (0.704, 0.018, 0.358)
Sr (0.704, 0.482, 0.358)
Sr (0.796, 0.518, 0.858)
Sr (0.796, 0.982, 0.858)
Se (0.043, 0.750, 0.403)
Se (0.457, 0.250, 0.903)
Se (0.543, 0.750, 0.097)
Se (0.957, 0.250, 0.597)
N (0.099, 0.750, 0.866)
N (0.401, 0.250, 0.366)
N (0.599, 0.750, 0.634)
N (0.901, 0.250, 0.134)

Results
energy relative to the lowest polymorph listed for this composition = 0.044 eV per atom
uncorrected formation energy = -0.86 eV per atom
magnetic moment = 1.00 μB/f.u.
volume = 25.33 Å³ per atom


No. 2
VASP calculation (GGA-PBE) on a relaxed structure of Ce2AuN.

Cell lengths 3.086, 3.086, 7.652 Å; angles 90.00, 90.00, 90.00 degrees
Fractional coordinates of all 4 atoms:
Ce (0.000, 0.000, 0.193)
Ce (0.000, 0.000, 0.807)
Au (0.500, 0.500, 0.500)
N (0.500, 0.500, 0.000)

Results
uncorrected formation energy = -0.70 eV per atom
magnetic moment = 0.00 μB/f.u.
volume = 18.22 Å³ per atom


No. 3
VASP calculation (GGA-PBE) on a relaxed structure of LaSc2In6.

Cell lengths 8.281, 8.281, 8.281 Å; angles 148.09, 125.18, 64.85 degrees
Fractional coordinates of all 9 atoms:
La (0.000, 0.000, 0.000)
Sc (0.383, 0.883, 0.500)
Sc (0.617, 0.117, 0.500)
In (0.002, 0.308, 0.695)
In (0.316, 0.500, 0.816)
In (0.387, 0.692, 0.695)
In (0.613, 0.308, 0.305)
In (0.684, 0.500, 0.184)
In (0.998, 0.692, 0.305)

Results
magnetic moment = 0.00 μB/f.u.
volume = 26.96 Å³ per atom
E_form = -294 meV/atom


No. 4
VASP calculation (GGA-PBE) on a relaxed structure of Dy2Ho3.

Cell lengths 12.202, 7.556, 14.126 Å; angles 59.68, 32.32, 88.00 degrees
Fractional coordinates of all 10 atoms:
Dy (0.221, 0.779, 0.355)
Dy (0.605, 0.895, 0.471)
Dy (0.779, 0.221, 0.645)
Dy (0.895, 0.605, 0.029)
Ho (0.061, 0.144, 0.640)
Ho (0.095, 0.610, 0.106)
Ho (0.144, 0.061, 0.155)
Ho (0.304, 0.304, 0.696)
Ho (0.554, 0.554, 0.946)
Ho (0.610, 0.095, 0.189)

Results
energy relative to the lowest polymorph listed for this composition = 0.052 eV per atom
magnetic moment = 0.00 μB/f.u.
volume = 31.77 Å³ per atom
E_form = 188 meV/atom


No. 5
VASP calculation (GGA-PBE) on a relaxed structure of YNiCl3.

Cell lengths 5.302, 5.302, 5.302 Å; angles 90.00, 90.00, 90.00 degrees
Fractional coordinates of all 5 atoms:
Y (0.000, 0.000, 0.000)
Ni (0.500, 0.500, 0.500)
Cl (0.000, 0.000, 0.500)
Cl (0.000, 0.500, 0.000)
Cl (0.500, 0.000, 0.000)

Results
energy relative to the lowest polymorph listed for this composition = 0.000 eV per atom
uncorrected formation energy = -0.83 eV per atom
magnetic moment = 2.00 μB/f.u.
volume = 29.81 Å³ per atom


No. 6
VASP calculation (GGA-PBE) on a relaxed structure of TlAuSe4.

Cell lengths 5.135, 18.681, 7.500 Å; angles 90.00, 90.00, 90.00 degrees
Fractional coordinates of all 24 atoms:
Tl (0.000, 0.167, 0.250)
Tl (0.000, 0.833, 0.750)
Tl (0.500, 0.333, 0.750)
Tl (0.500, 0.667, 0.250)
Au (0.000, 0.431, 0.250)
Au (0.000, 0.569, 0.750)
Au (0.500, 0.069, 0.750)
Au (0.500, 0.931, 0.250)
Se (0.200, 0.181, 0.674)
Se (0.200, 0.819, 0.174)
Se (0.209, 0.022, 0.037)
Se (0.209, 0.978, 0.537)
Se (0.291, 0.478, 0.537)
Se (0.291, 0.522, 0.037)
Se (0.300, 0.319, 0.174)
Se (0.300, 0.681, 0.674)
Se (0.700, 0.319, 0.326)
Se (0.700, 0.681, 0.826)
Se (0.709, 0.478, 0.963)
Se (0.709, 0.522, 0.463)
Se (0.791, 0.022, 0.463)
Se (0.791, 0.978, 0.963)
Se (0.800, 0.181, 0.826)
Se (0.800, 0.819, 0.326)

Results
energy relative to the lowest polymorph listed for this composition = 0.000 eV per atom
uncorrected formation energy = -0.03 eV per atom
magnetic moment = 0.00 μB/f.u.
volume = 29.98 Å³ per atom


No. 7
VASP calculation (GGA-PBE) on a relaxed structure of Cd3CuHg.

Cell lengths 6.712, 6.712, 7.035 Å; angles 121.41, 121.41, 74.54 degrees
Fractional coordinates of all 10 atoms:
Cd (0.047, 0.415, 0.188)
Cd (0.068, 0.068, 0.366)
Cd (0.415, 0.047, 0.188)
Cd (0.585, 0.953, 0.812)
Cd (0.932, 0.932, 0.634)
Cd (0.953, 0.585, 0.812)
Cu (0.254, 0.254, 0.879)
Cu (0.746, 0.746, 0.121)
Hg (0.434, 0.434, 0.706)
Hg (0.566, 0.566, 0.294)

Results
energy relative to the lowest polymorph listed for this composition = 0.000 eV per atom
magnetic moment = 0.00 μB/f.u.
volume = 23.08 Å³ per atom
E_form = 104 meV/atom


No. 8
VASP calculation (GGA-PBE) on a relaxed structure of DyThPd2.

Cell lengths 3.782, 4.630, 5.714 Å; angles 90.00, 109.19, 90.00 degrees
Fractional coordinates of all 4 atoms:
Dy (0.000, 0.000, 0.000)
Th (0.273, 0.500, 0.549)
Pd (0.549, 0.500, 0.098)
Pd (0.726, 0.000, 0.452)

Results
energy relative to the lowest polymorph listed for this composition = 0.000 eV per atom
magnetic moment = 0.00 μB/f.u.
volume = 23.62 Å³ per atom
E_form = -846 meV/atom


No. 9
VASP calculation (GGA-PBE) on a relaxed structure of Ba4H2Ir.

Cell lengths 8.209, 8.209, 8.209 Å; angles 136.79, 136.79, 62.76 degrees
Fractional coordinates of all 7 atoms:
Ba (0.000, 0.500, 0.500)
Ba (0.225, 0.225, 0.000)
Ba (0.500, 0.000, 0.500)
Ba (0.775, 0.775, 0.000)
H (0.410, 0.410, 0.000)
H (0.590, 0.590, 0.000)
Ir (0.000, 0.000, 0.000)

Results
energy relative to the lowest polymorph listed for this composition = 0.171 eV per atom
magnetic moment = 1.24 μB/f.u.
volume = 36.58 Å³ per atom


No. 10
VASP calculation (GGA-PBE) on a relaxed structure of BaAcAs4.

Cell lengths 5.991, 5.991, 5.991 Å; angles 60.00, 60.00, 60.00 degrees
Fractional coordinates of all 6 atoms:
Ba (0.000, 0.000, 0.000)
Ac (0.750, 0.750, 0.750)
As (0.376, 0.376, 0.376)
As (0.376, 0.376, 0.873)
As (0.376, 0.873, 0.376)
As (0.873, 0.376, 0.376)

Results
magnetic moment = 0.00 μB/f.u.
volume = 25.34 Å³ per atom
E_form = -559 meV/atom


No. 11
VASP calculation (GGA-PBE) on a relaxed structure of AlFe2Ru.

Cell lengths 2.675, 2.675, 6.992 Å; angles 90.00, 90.00, 90.00 degrees
Fractional coordinates of all 4 atoms:
Al (0.000, 0.000, 0.000)
Fe (0.500, 0.500, 0.247)
Fe (0.500, 0.500, 0.753)
Ru (0.000, 0.000, 0.500)

Results
magnetic moment = 3.41 μB/f.u.
volume = 12.51 Å³ per atom
E_form = -83 meV/atom


No. 12
VASP calculation (GGA-PBE) on a relaxed structure of Sm12Y5Ti3.

Cell lengths 15.738, 15.738, 15.738 Å; angles 109.47, 109.47, 109.47 degrees
Fractional coordinates of all 80 atoms:
Sm (0.052, 0.634, 0.395)
Sm (0.052, 0.918, 0.657)
Sm (0.082, 0.239, 0.134)
Sm (0.082, 0.343, 0.948)
Sm (0.105, 0.739, 0.657)
Sm (0.105, 0.866, 0.448)
Sm (0.134, 0.082, 0.239)
Sm (0.134, 0.552, 0.895)
Sm (0.157, 0.239, 0.605)
Sm (0.157, 0.418, 0.552)
Sm (0.239, 0.134, 0.082)
Sm (0.239, 0.605, 0.157)
Sm (0.261, 0.343, 0.895)
Sm (0.261, 0.418, 0.366)
Sm (0.343, 0.895, 0.261)
Sm (0.343, 0.948, 0.082)
Sm (0.366, 0.261, 0.418)
Sm (0.366, 0.605, 0.948)
Sm (0.395, 0.052, 0.634)
Sm (0.395, 0.843, 0.761)
Sm (0.418, 0.366, 0.261)
Sm (0.418, 0.552, 0.157)
Sm (0.448, 0.105, 0.866)
Sm (0.448, 0.843, 0.582)
Sm (0.552, 0.157, 0.418)
Sm (0.552, 0.895, 0.134)
Sm (0.582, 0.448, 0.843)
Sm (0.582, 0.634, 0.739)
Sm (0.605, 0.157, 0.239)
Sm (0.605, 0.948, 0.366)
Sm (0.634, 0.395, 0.052)
Sm (0.634, 0.739, 0.582)
Sm (0.657, 0.052, 0.918)
Sm (0.657, 0.105, 0.739)
Sm (0.739, 0.582, 0.634)
Sm (0.739, 0.657, 0.105)
Sm (0.761, 0.395, 0.843)
Sm (0.761, 0.866, 0.918)
Sm (0.843, 0.582, 0.448)
Sm (0.843, 0.761, 0.395)
Sm (0.866, 0.448, 0.105)
Sm (0.866, 0.918, 0.761)
Sm (0.895, 0.134, 0.552)
Sm (0.895, 0.261, 0.343)
Sm (0.918, 0.657, 0.052)
Sm (0.918, 0.761, 0.866)
Sm (0.948, 0.082, 0.343)
Sm (0.948, 0.366, 0.605)
Y (0.000, 0.000, 0.000)
Y (0.000, 0.000, 0.500)
Y (0.000, 0.500, 0.000)
Y (0.000, 0.500, 0.500)
Y (0.125, 0.750, 0.875)
Y (0.125, 0.875, 0.250)
Y (0.250, 0.125, 0.875)
Y (0.250, 0.625, 0.375)
Y (0.375, 0.250, 0.625)
Y (0.375, 0.625, 0.750)
Y (0.500, 0.000, 0.000)
Y (0.500, 0.000, 0.500)
Y (0.500, 0.500, 0.000)
Y (0.500, 0.500, 0.500)
Y (0.625, 0.375, 0.250)
Y (0.625, 0.750, 0.375)
Y (0.750, 0.375, 0.625)
Y (0.750, 0.875, 0.125)
Y (0.875, 0.125, 0.750)
Y (0.875, 0.250, 0.125)
Ti (0.125, 0.250, 0.375)
Ti (0.125, 0.375, 0.750)
Ti (0.250, 0.375, 0.125)
Ti (0.250, 0.875, 0.625)
Ti (0.375, 0.125, 0.250)
Ti (0.375, 0.750, 0.125)
Ti (0.625, 0.250, 0.875)
Ti (0.625, 0.875, 0.750)
Ti (0.750, 0.125, 0.375)
Ti (0.750, 0.625, 0.875)
Ti (0.875, 0.625, 0.250)
Ti (0.875, 0.750, 0.625)

Results
magnetic moment = 4.68 μB/f.u.
volume = 37.51 Å³ per atom
E_form = 1042 meV/atom